1.
K2IrRh | GGA-PBE | optimized geometry

```
data_K2IrRh
_symmetry_space_group_name_H-M 'P 1'
_symmetry_Int_Tables_number 1
_cell_length_a 9.045
_cell_length_b 9.045
_cell_length_c 9.045
_cell_angle_alpha 93.86
_cell_angle_beta 93.86
_cell_angle_gamma 149.92
loop_
_symmetry_equiv_pos_as_xyz
'x,y,z'
loop_
_atom_site_label
_atom_site_fract_x
_atom_site_fract_y
_atom_site_fract_z
_atom_site_occupancy
K1 0.375 0.146 0.271 1
K2 0.854 0.125 0.229 1
K3 0.875 0.104 0.729 1
K4 0.896 0.625 0.771 1
Ir1 0.250 0.750 0.500 1
Ir2 0.500 0.500 0.000 1
Rh1 0.000 0.000 0.000 1
Rh2 0.750 0.250 0.500 1
```

Computed properties:
V ... 358.1 Å³ per cell
Formation energy from the elements ... 803.6 meV per atom

---

2.
HOs3Pt | GGA-PBE | optimized geometry

```
data_HOs3Pt
_symmetry_space_group_name_H-M 'P 1'
_symmetry_Int_Tables_number 1
_cell_length_a 3.928
_cell_length_b 3.928
_cell_length_c 3.928
_cell_angle_alpha 90.00
_cell_angle_beta 90.00
_cell_angle_gamma 90.00
loop_
_symmetry_equiv_pos_as_xyz
'x,y,z'
loop_
_atom_site_label
_atom_site_fract_x
_atom_site_fract_y
_atom_site_fract_z
_atom_site_occupancy
H1 0.000 0.000 0.000 1
Os1 0.000 0.000 0.500 1
Os2 0.000 0.500 0.000 1
Os3 0.500 0.000 0.000 1
Pt1 0.500 0.500 0.500 1
```

Computed properties:
V ... 60.6 Å³ per cell

---

3.
PrDyCdGa | GGA-PBE | optimized geometry

```
data_PrDyCdGa
_symmetry_space_group_name_H-M 'P 1'
_symmetry_Int_Tables_number 1
_cell_length_a 3.666
_cell_length_b 3.666
_cell_length_c 7.719
_cell_angle_alpha 90.00
_cell_angle_beta 90.00
_cell_angle_gamma 90.00
loop_
_symmetry_equiv_pos_as_xyz
'x,y,z'
loop_
_atom_site_label
_atom_site_fract_x
_atom_site_fract_y
_atom_site_fract_z
_atom_site_occupancy
Pr1 0.000 0.000 0.000 1
Dy1 0.000 0.000 0.467 1
Cd1 0.500 0.500 0.715 1
Ga1 0.500 0.500 0.248 1
```

Computed properties:
V ... 103.7 Å³ per cell
Formation energy from the elements ... -447.3 meV per atom

---

In order of appearance, energy = -3.80, -8.29, -3.78 eV/atom.
In order of appearance, distance to the lowest polymorph of the same formula = 425, 0, 0 meV per atom.